Record 1
Computed, not measured: an optimized crystal structure of KCaH3 at the GGA-PBEsol level of DFT.

Geometry as POSCAR:
```
KCaH3
1.0
-5.0243 0.7495 3.5077
2.8799 -2.7988 4.7231
3.0498 7.7247 2.7178
K H Ca
4 12 4
direct
0.4825 0.5030 0.7500
0.9825 0.9970 0.7500
0.5175 0.4970 0.2500
0.0175 0.0030 0.2500
0.9842 0.5629 0.2500
0.7202 0.7205 0.9673
0.2798 0.2795 0.0327
0.2202 0.7795 0.9673
0.7202 0.7205 0.5327
0.7798 0.2205 0.0327
0.2798 0.2795 0.4673
0.0158 0.4371 0.7500
0.2202 0.7795 0.5327
0.7798 0.2205 0.4673
0.4842 0.9371 0.2500
0.5158 0.0629 0.7500
0.0000 0.5000 0.5000
0.5000 0.0000 0.0000
0.5000 0.0000 0.5000
0.0000 0.5000 0.0000
```

## Properties
crystal system = orthorhombic
V = 334.4 Å³ per cell
Fermi-level density of states = 0.00 states/eV/cell

---

Record 2
Computed, not measured: an optimized crystal structure of Rb6Co2O7 at the GGA-PBEsol level of DFT.

Geometry as POSCAR:
```
Rb6Co2O7
1.0
-4.3254 2.9539 -7.7477
8.6897 -3.4191 -0.5105
-3.6771 -9.1319 -1.4287
Rb O Co
12 14 4
direct
0.6684 0.6360 0.1263
0.9564 0.3483 0.6262
0.0436 0.6517 0.3738
0.3640 0.0323 0.1263
0.3483 0.3919 0.3738
0.6517 0.6081 0.6262
0.3316 0.3640 0.8737
0.9677 0.3316 0.1263
0.6360 0.9677 0.8737
0.0323 0.6684 0.8737
0.3919 0.0436 0.6262
0.6081 0.9564 0.3738
0.4865 0.1707 0.8816
0.8312 0.2996 0.3707
0.6842 0.5135 0.8816
0.4684 0.1688 0.3707
0.1688 0.7004 0.6293
0.2996 0.4684 0.6293
0.1707 0.6842 0.1184
0.3333 0.6667 0.8738
0.7004 0.5316 0.3707
0.5316 0.8312 0.6293
0.5135 0.8293 0.1184
0.6667 0.3333 0.1262
0.8293 0.3158 0.8816
0.3158 0.4865 0.1184
0.6667 0.3333 0.3191
0.3333 0.6667 0.6809
0.6667 0.3333 0.9424
0.3333 0.6667 0.0576
```

## Properties
crystal system = trigonal
polymorph energy (0 for the lowest one) = 41 meV/atom
formation energy without anion corrections = -1.178 eV/atom
V = 753.5 Å³ per cell
Fermi-level density of states = 5.07 states/eV/cell

---

Record 3
Computed, not measured: an optimized crystal structure of ZrAl2Cu2 at the GGA-PBEsol level of DFT.

Geometry as POSCAR:
```
ZrAl2Cu2
1.0
-1.0772 -0.4605 3.6256
-3.6208 -0.3790 -1.1240
3.0406 -4.8224 -1.7112
Zr Al Cu
1 2 2
direct
0.0000 0.0000 0.0000
0.3851 0.3851 0.7702
0.6149 0.6149 0.2298
0.7500 0.2500 0.5000
0.2500 0.7500 0.5000
```

## Properties
crystal system = tetragonal
polymorph energy (0 for the lowest one) = 62 meV/atom
ΔH_f (0 K) = -0.27 eV/atom
V = 77.1 Å³ per cell
Fermi-level density of states = 2.93 states/eV/cell

---

Record 4
Computed, not measured: an optimized crystal structure of Li6MnF8 at the GGA-PBEsol level of DFT.

Geometry as POSCAR:
```
Li6MnF8
1.0
5.7268 0.0000 0.0000
2.8634 4.9596 0.0000
2.8634 1.6532 4.6760
F Mn Li
8 1 6
direct
0.2500 0.2500 0.2500
0.7581 0.7581 0.2419
0.7581 0.2419 0.2419
0.2419 0.7581 0.7581
0.7581 0.2419 0.7581
0.2419 0.7581 0.2419
0.2419 0.2419 0.7581
0.7500 0.7500 0.7500
0.0000 0.0000 0.0000
0.5000 0.0000 0.5000
0.5000 0.5000 0.0000
0.0000 0.0000 0.5000
0.5000 0.0000 0.0000
0.0000 0.5000 0.0000
0.0000 0.5000 0.5000
```

## Properties
crystal system = cubic
formation energy without anion corrections = -2.651 eV/atom
V = 132.8 Å³ per cell
Fermi-level density of states = 11.77 states/eV/cell

---

Record 5
Computed, not measured: an optimized crystal structure of TiHgBr2 at the GGA-PBEsol level of DFT.

Geometry as POSCAR:
```
TiHgBr2
1.0
3.3736 0.0000 0.0000
1.6868 2.9216 0.0000
1.6868 0.9739 10.4555
Ti Hg Br
1 1 2
direct
0.5000 0.5000 0.5000
0.0000 0.0000 0.0000
0.8877 0.8877 0.3370
0.1123 0.1123 0.6630
```

## Properties
crystal system = trigonal
formation energy without anion corrections = -0.747 eV/atom
V = 103.1 Å³ per cell
Fermi-level density of states = 1.99 states/eV/cell

---

Record 6
Computed, not measured: an optimized crystal structure of Mg2AgSe at the GGA-PBEsol level of DFT.

Geometry as POSCAR:
```
Mg2AgSe
1.0
-2.8801 1.8030 -0.5584
-1.5932 -2.8684 -1.0448
-1.8782 -1.1663 5.9217
Ag Mg Se
1 2 1
direct
0.5000 0.5000 0.0000
0.0000 0.9984 0.2499
0.0000 0.0016 0.7501
0.5000 0.5000 0.5000
```

## Properties
crystal system = monoclinic
formation energy without anion corrections = -0.465 eV/atom
V = 74.9 Å³ per cell
Fermi-level density of states = 1.16 states/eV/cell

---

Record 7
Computed, not measured: an optimized crystal structure of ReAgSN2 at the GGA-PBEsol level of DFT.

Geometry as POSCAR:
```
ReAgSN2
1.0
3.7898 0.0000 0.0000
0.0000 3.7898 0.0000
0.0000 0.0000 5.0407
S Ag N Re
1 1 2 1
direct
0.0000 0.0000 0.5000
0.5000 0.5000 0.5000
0.5000 0.0000 0.0000
0.0000 0.5000 0.0000
0.0000 0.0000 0.0000
```

## Properties
crystal system = tetragonal
formation energy without anion corrections = 0.387 eV/atom
V = 72.4 Å³ per cell
Fermi-level density of states = 2.04 states/eV/cell

---

Record 8
Computed, not measured: an optimized crystal structure of CaAg2O4 at the GGA-PBEsol level of DFT.

Geometry as POSCAR:
```
CaAg2O4
1.0
5.9136 0.0000 0.0000
-2.9568 5.8099 -0.0093
0.0000 3.0177 5.0857
O Ca Ag
8 2 4
direct
0.7441 0.8964 0.7013
0.5977 0.6036 0.3477
0.1523 0.8964 0.4023
0.0059 0.6036 0.0487
0.0487 0.3964 0.5977
0.7013 0.1036 0.1523
0.3477 0.3964 0.0059
0.4023 0.1036 0.7441
0.7500 0.5000 0.7500
0.0000 0.0000 0.0000
0.3750 0.2500 0.3750
0.8750 0.2500 0.3750
0.3750 0.7500 0.3750
0.3750 0.7500 0.8750
```

## Properties
crystal system = tetragonal
polymorph energy (0 for the lowest one) = 0 meV/atom
formation energy without anion corrections = -1.024 eV/atom
V = 174.9 Å³ per cell

---

Number 1: VASP energy -3.008 eV per atom. Number 2: VASP energy -5.069 eV per atom. Number 3: VASP energy -5.455 eV per atom. Number 4: VASP energy -5.117 eV per atom. Number 5: VASP energy -3.905 eV per atom. Number 6: VASP energy -3.113 eV per atom. Number 7: VASP energy -7.230 eV per atom. Number 8: VASP energy -5.274 eV per atom.